## AcTl3Cd8 (PBE)

Data for an optimized crystal structure of AcTl3Cd8.

extended XYZ file:
```
12
Lattice="5.840 0.000 1.763 2.654 5.202 1.763 -0.013 -0.008 10.598" Properties=species:S:1:pos:R:3 pbc="T T T"
Ac 7.430 4.550 7.050
Tl 3.169 1.941 10.611
Tl -0.010 -0.006 10.585
Tl 4.223 2.587 7.117
Cd 6.644 2.279 4.381
Cd 5.029 4.870 9.722
Cd 3.721 2.279 3.499
Cd 7.951 4.870 10.604
Cd 1.581 0.968 5.318
Cd 5.832 3.572 12.344
Cd 5.049 4.883 4.381
Cd 6.623 2.266 9.722
```

**DFT formation energy**: -0.09 eV per atom
**Calculated density**: 8967 kg/m³


## LaScMo (PBE)

Data for an optimized crystal structure of LaScMo.

extended XYZ file:
```
3
Lattice="4.697 0.000 0.000 2.348 4.067 0.000 2.348 1.356 3.835" Properties=species:S:1:pos:R:3 pbc="T T T"
La 2.348 1.356 0.959
Mo 0.000 0.000 0.000
Sc 4.697 2.712 1.917
```

**DFT formation energy**: 1.25 eV per atom
**Calculated density**: 6342 kg/m³
**Excess energy over the best structure of this formula in the dataset**: 0.933 eV/atom


## Re2WBr (PBE)

Data for an optimized crystal structure of Re2WBr.

extended XYZ file:
```
4
Lattice="-1.368 -2.622 -0.940 1.457 0.219 -2.731 5.289 -3.666 2.528" Properties=species:S:1:pos:R:3 pbc="T T T"
Re 0.144 -0.100 0.069
Re 2.501 -1.733 1.195
Br 4.011 -3.951 0.061
W 1.367 -2.118 -1.203
```

**Formation energy without anion corrections**: 0.763 eV/atom
**Calculated density**: 15867 kg/m³
**Excess energy over the best structure of this formula in the dataset**: 0.151 eV/atom


## TlP (PBE)

Data for an optimized crystal structure of TlP.

extended XYZ file:
```
2
Lattice="0.000 3.052 3.052 3.052 0.000 3.052 3.052 3.052 0.000" Properties=species:S:1:pos:R:3 pbc="T T T"
Tl 0.000 0.000 0.000
P 1.526 1.526 1.526
```

**DFT formation energy**: 0.22 eV per atom
**Calculated density**: 6874 kg/m³


## Tm3MgTc (PBE)

Data for an optimized crystal structure of Tm3MgTc.

extended XYZ file:
```
10
Lattice="-1.808 2.722 0.867 -6.633 -3.820 -1.834 -0.605 -3.253 8.966" Properties=species:S:1:pos:R:3 pbc="T T T"
Tm -6.489 -5.122 3.756
Tm -2.734 -3.213 5.589
Tm -2.379 -1.302 0.326
Tm -5.114 -5.182 6.818
Tm -6.238 -3.779 0.053
Tm -4.110 -3.151 2.530
Mg -1.817 -1.404 8.409
Mg -2.578 -0.390 3.632
Tc -5.212 -1.179 0.625
Tc -5.516 -2.806 5.107
```

**DFT formation energy**: -0.04 eV per atom
**Calculated density**: 8216 kg/m³


## HoMg7Sn4 (PBE)

Data for an optimized crystal structure of HoMg7Sn4.

extended XYZ file:
```
12
Lattice="5.720 0.000 0.000 2.860 8.764 -0.291 2.860 0.034 6.225" Properties=species:S:1:pos:R:3 pbc="T T T"
Ho 0.000 0.000 0.000
Mg 8.580 7.932 3.031
Mg 2.860 0.865 2.903
Mg 2.860 5.624 1.256
Mg 8.580 3.173 4.678
Mg 5.720 5.122 4.461
Mg 2.860 0.000 0.000
Mg 5.720 3.675 1.472
Sn 5.720 2.016 3.916
Sn 5.720 6.781 2.017
Sn 8.580 6.012 5.270
Sn 2.860 2.785 0.663
```

**DFT formation energy**: 0.04 eV per atom
**Calculated density**: 4309 kg/m³


## Tl2MoOs (PBE)

Data for an optimized crystal structure of Tl2MoOs.

extended XYZ file:
```
4
Lattice="-1.997 0.931 2.177 0.224 -2.730 1.373 6.825 1.646 5.557" Properties=species:S:1:pos:R:3 pbc="T T T"
Mo 3.821 -0.233 3.605
Os 3.993 -0.660 6.149
Tl 6.583 1.016 5.604
Tl 1.004 0.828 2.770
```

**DFT formation energy**: 0.42 eV per atom
**Calculated density**: 13783 kg/m³
**Excess energy over the best structure of this formula in the dataset**: 0.000 eV/atom


## NbIrPbI2 (PBE)

Data for an optimized crystal structure of NbIrPbI2.

extended XYZ file:
```
5
Lattice="-3.763 -1.856 3.516 3.346 0.601 3.898 -1.808 5.111 0.763" Properties=species:S:1:pos:R:3 pbc="T T T"
Pb 1.673 0.301 1.949
I -0.904 2.555 0.382
I -1.882 -0.928 1.758
Nb -1.113 1.928 4.089
Ir 0.000 0.000 0.000
```

**Formation energy without anion corrections**: 1.088 eV/atom
**Calculated density**: 7992 kg/m³